(1)
Density functional theory data (PBE) for Ce8PuRu2 after structural relaxation.

The structure belongs to space group C2/m (No. 12); the cell edges are 12.882, 7.085 and 6.541 Å and the angles 90.00°, 100.54° and 90.00°. The inequivalent atoms are Ce at (0.096, 0.000, 0.251), Ce at (0.115, 0.500, 0.233), Ce at (0.123, 0.269, 0.710), Pu at (0.000, 0.500, 0.500) and Ru at (0.218, 0.000, 0.021).

The total energy comes out at -7.428 eV per atom. The spin magnetization comes out at 2.6 μB per cell. The value obtained for the volume is 586.94 Å³ per cell.



(2)
Density functional theory data (PBE) for Ce3PuRu8 after structural relaxation.

The structure belongs to space group R3m (No. 160, hexagonal axes); the cell edges are 5.3409, 5.3409 and 26.2728 Å and the angles 90.00°, 90.00° and 120.00°. The inequivalent atoms are Ce at (0.0000, 0.0000, 0.0000), Ce at (0.0000, 0.0000, 0.1264), Ce at (0.0000, 0.0000, 0.5012), Pu at (0.0000, 0.0000, 0.6248), Ru at (0.0000, 0.0000, 0.3129), Ru at (0.0000, 0.0000, 0.8130), Ru at (0.0013, 0.5006, 0.5638) and Ru at (0.1675, 0.3350, 0.3958).

The total energy comes out at -9.099 eV per atom. The spin magnetization comes out at 12.9 μB per cell. The value obtained for the volume is 649.03 Å³ per cell.



(3)
Density functional theory data (PBE) for Ce3PuRu3 after structural relaxation.

The structure belongs to space group C2/m (No. 12); the cell edges are 8.437, 10.389 and 7.202 Å and the angles 90.00°, 90.69° and 90.00°. The inequivalent atoms are Ce at (0.000, 0.166, 0.000), Ce at (0.000, 0.258, 0.500), Ce at (0.122, 0.500, 0.138), Pu at (0.237, 0.000, 0.365), Ru at (0.094, 0.000, 0.688) and Ru at (0.197, 0.277, 0.792).

The total energy comes out at -8.775 eV per atom. The spin magnetization comes out at 22.8 μB per cell. The value obtained for the volume is 631.20 Å³ per cell.



(4)
Density functional theory data (PBE) for CePu2Ru2 after structural relaxation.

The structure belongs to space group Cmc2_1 (No. 36); the cell edges are 4.342, 18.103 and 5.563 Å and the angles 90.00°, 90.00° and 90.00°. The inequivalent atoms are Ce at (0.000, 0.130, 0.000), Pu at (0.000, 0.322, 0.005), Pu at (0.000, 0.496, 0.746), Ru at (0.000, 0.090, 0.505) and Ru at (0.000, 0.258, 0.503).

The total energy comes out at -10.753 eV per atom. The spin magnetization comes out at 41.9 μB per cell. The value obtained for the volume is 437.30 Å³ per cell.



(5)
Density functional theory data (PBE) for Ce2Pu12Ru7 after structural relaxation.

The structure belongs to space group P-6 (No. 174); the cell edges are 10.4200, 10.4200 and 4.7792 Å and the angles 90.00°, 90.00° and 120.00°. The inequivalent atoms are Ce at (0.0000, 0.0000, 0.0000), Ce at (0.3333, 0.6667, 0.5000), Pu at (0.0333, 0.3511, 0.0000), Pu at (0.0645, 0.7475, 0.5000), Pu at (0.4306, 0.2480, 0.0000), Pu at (0.4749, 0.0506, 0.5000), Ru at (0.1590, 0.6603, 0.0000), Ru at (0.1872, 0.0384, 0.5000) and Ru at (0.6667, 0.3333, 0.5000).

The total energy comes out at -11.871 eV per atom. The spin magnetization comes out at 27.6 μB per cell. The value obtained for the volume is 449.39 Å³ per cell.



(6)
Density functional theory data (PBE) for Ce4PuRu after structural relaxation.

The structure belongs to space group P2_1/c (No. 14); the cell edges are 6.700, 8.506 and 12.185 Å and the angles 90.00°, 121.58° and 90.00°. The inequivalent atoms are Ce at (0.107, 0.183, 0.083), Ce at (0.186, 0.100, 0.832), Ce at (0.316, 0.589, 0.109), Ce at (0.367, 0.734, 0.373), Pu at (0.201, 0.013, 0.368) and Ru at (0.328, 0.559, 0.635).

The total energy comes out at -7.966 eV per atom. The spin magnetization comes out at 22.5 μB per cell. The value obtained for the volume is 591.60 Å³ per cell.



(7)
Density functional theory data (PBE) for CePuRu after structural relaxation.

The structure belongs to space group C2/m (No. 12); the cell edges are 10.452, 4.503 and 5.444 Å and the angles 90.00°, 90.11° and 90.00°. The inequivalent atoms are Ce at (0.240, 0.000, 0.250), Pu at (0.069, 0.500, 0.250) and Ru at (0.090, 0.000, 0.749).

The total energy comes out at -9.962 eV per atom. The spin magnetization comes out at 24.4 μB per cell. The value obtained for the volume is 256.20 Å³ per cell.



(8)
Density functional theory data (PBE) for CePuRu after structural relaxation.

The structure belongs to space group P-1 (No. 2); the cell edges are 3.406, 5.785 and 7.082 Å and the angles 111.20°, 90.01° and 107.02°. The inequivalent atoms are Ce at (0.170, 0.339, 0.093), Pu at (0.151, 0.301, 0.579) and Ru at (0.496, 0.993, 0.763).

The total energy comes out at -10.026 eV per atom. The spin magnetization comes out at 10.1 μB per cell. The value obtained for the volume is 123.50 Å³ per cell.



| no. | DFT formation energy (eV per atom) | mass density (Mg/m³) |
| --- | --- | --- |
| 1 | -0.12 | 8.87 |
| 2 | -0.24 | 11.31 |
| 3 | -0.21 | 10.18 |
| 4 | -0.12 | 12.61 |
| 5 | -0.02 | 14.47 |
| 6 | -0.08 | 10.17 |
| 7 | -0.11 | 12.58 |
| 8 | -0.18 | 13.05 |